5
Lattice="4.5643 0.0000 0.0000 0.0000 5.0589 0.0000 0.0000 0.0000 5.0589" Properties=species:S:1:pos:R:3 comment="GGA-PBEsol Nb2InGaFe, relaxed" dft_energy_ev_per_atom=-5.375 spacegroup=P4/mmm pbc="T T T"
Nb 0.0000 0.0000 2.5295
Nb 0.0000 2.5295 0.0000
Fe 2.2821 2.5295 2.5295
Ga 2.2821 0.0000 0.0000
In 0.0000 0.0000 0.0000